1.
The following is a PBE calculation of a geometry-optimized SrSc2Co structure, from the Open Quantum Materials Database.

Geometry as POSCAR:
```
SrSc2Co
1.0
0.0000 3.5556 3.5556
3.5556 0.0000 3.5556
3.5556 3.5556 0.0000
Sr Sc Co
1 2 1
Direct
0.0000 0.0000 0.0000
0.5000 0.5000 0.5000
0.7500 0.7500 0.7500
0.2500 0.2500 0.2500
```

Raw total energy = -4.8364 eV per atom
Crystal system = cubic
Space-group type = F-43m (216)



2.
The following is a PBE calculation of a geometry-optimized Sr2ScCo structure, from the Open Quantum Materials Database.

Geometry as POSCAR:
```
Sr2ScCo
1.0
0.0000 3.7505 3.7505
3.7505 0.0000 3.7505
3.7505 3.7505 0.0000
Sr Sc Co
2 1 1
Direct
0.0000 0.0000 0.0000
0.2500 0.2500 0.2500
0.5000 0.5000 0.5000
0.7500 0.7500 0.7500
```

Raw total energy = -3.5551 eV per atom
Crystal system = cubic
Space-group type = F-43m (216)



3.
The following is a PBE calculation of a geometry-optimized ScCo2Tc structure, from the Open Quantum Materials Database.

Geometry as POSCAR:
```
ScCo2Tc
1.0
0.0000 2.9896 2.9896
2.9896 0.0000 2.9896
2.9896 2.9896 0.0000
Sc Co Tc
1 2 1
Direct
0.0000 0.0000 0.0000
0.5000 0.5000 0.5000
0.7500 0.7500 0.7500
0.2500 0.2500 0.2500
```

Crystal system = cubic
Space-group type = F-43m (216)
Energy above the most stable polymorph in this dataset = 0.0000 eV/atom
Energy relative to the elements = 11.5 kJ/mol of atoms



4.
The following is a PBE calculation of a geometry-optimized ScTlCoTc structure, from the Open Quantum Materials Database.

Geometry as POSCAR:
```
ScTlCoTc
1.0
0.0000 3.2464 3.2464
3.2464 0.0000 3.2464
3.2464 3.2464 0.0000
Sc Tl Co Tc
1 1 1 1
Direct
0.0000 0.0000 0.0000
0.2500 0.2500 0.2500
0.5000 0.5000 0.5000
0.7500 0.7500 0.7500
```

Crystal system = cubic
Space-group type = F-43m (216)
Energy above the most stable polymorph in this dataset = 0.0539 eV/atom



5.
The following is a PBE calculation of a geometry-optimized ScTlCoTc structure, from the Open Quantum Materials Database.

Geometry as POSCAR:
```
ScTlCoTc
1.0
0.0000 3.2317 3.2317
3.2317 0.0000 3.2317
3.2317 3.2317 0.0000
Sc Tl Co Tc
1 1 1 1
Direct
0.0000 0.0000 0.0000
0.5000 0.5000 0.5000
0.7500 0.7500 0.7500
0.2500 0.2500 0.2500
```

Crystal system = cubic
Space-group type = F-43m (216)
Energy above the most stable polymorph in this dataset = 0.0000 eV/atom



6.
The following is a PBE calculation of a geometry-optimized ScZnCoTc structure, from the Open Quantum Materials Database.

Geometry as POSCAR:
```
ScZnCoTc
1.0
0.0000 3.0757 3.0757
3.0757 0.0000 3.0757
3.0757 3.0757 0.0000
Sc Zn Co Tc
1 1 1 1
Direct
0.0000 0.0000 0.0000
0.5000 0.5000 0.5000
0.7500 0.7500 0.7500
0.2500 0.2500 0.2500
```

Crystal system = cubic
Space-group type = F-43m (216)
Energy above the most stable polymorph in this dataset = 0.0344 eV/atom
Energy relative to the elements = 6.7 kJ/mol of atoms



7.
The following is a PBE calculation of a geometry-optimized ScZnCoTc structure, from the Open Quantum Materials Database.

Geometry as POSCAR:
```
ScZnCoTc
1.0
0.0000 3.1017 3.1017
3.1017 0.0000 3.1017
3.1017 3.1017 0.0000
Sc Zn Co Tc
1 1 1 1
Direct
0.0000 0.0000 0.0000
0.2500 0.2500 0.2500
0.5000 0.5000 0.5000
0.7500 0.7500 0.7500
```

Crystal system = cubic
Space-group type = F-43m (216)
Energy above the most stable polymorph in this dataset = 0.0000 eV/atom
Energy relative to the elements = 3.4 kJ/mol of atoms



8.
The following is a PBE calculation of a geometry-optimized ScCoTe2 structure, from the Open Quantum Materials Database.

Geometry as POSCAR:
```
ScCoTe2
1.0
0.0000 3.4739 3.4739
3.4739 0.0000 3.4739
3.4739 3.4739 0.0000
Sc Co Te
1 1 2
Direct
0.0000 0.0000 0.0000
0.2500 0.2500 0.2500
0.5000 0.5000 0.5000
0.7500 0.7500 0.7500
```

Raw total energy = -4.7029 eV per atom
Crystal system = cubic
Space-group type = F-43m (216)



9.
The following is a PBE calculation of a geometry-optimized Sc2CoTe structure, from the Open Quantum Materials Database.

Geometry as POSCAR:
```
Sc2CoTe
1.0
0.0000 3.3396 3.3396
3.3396 0.0000 3.3396
3.3396 3.3396 0.0000
Sc Co Te
2 1 1
Direct
0.0000 0.0000 0.0000
0.2500 0.2500 0.2500
0.7500 0.7500 0.7500
0.5000 0.5000 0.5000
```

Raw total energy = -5.7211 eV per atom
Crystal system = cubic
Space-group type = F-43m (216)



10.
The following is a PBE calculation of a geometry-optimized Sc6CoTe2 structure, from the Open Quantum Materials Database.

Geometry as POSCAR:
```
Sc6CoTe2
1.0
7.7487 0.0000 0.0000
-3.8744 6.7106 0.0000
0.0000 0.0000 3.7514
Sc Co Te
6 1 2
Direct
0.0000 0.2352 0.0000
0.0000 0.6121 0.5000
0.2352 0.0000 0.0000
0.3879 0.3879 0.5000
0.6121 0.0000 0.5000
0.7648 0.7648 0.0000
0.0000 0.0000 0.5000
0.3333 0.6667 0.0000
0.6667 0.3333 0.0000
```

Raw total energy = -6.3747 eV per atom
Crystal system = hexagonal
Space-group type = P-62m (189)



11.
The following is a PBE calculation of a geometry-optimized TmScCo2Te2 structure, from the Open Quantum Materials Database.

Geometry as POSCAR:
```
TmScCo2Te2
1.0
8.6926 0.0000 0.0000
0.0000 4.3416 0.0000
-4.3335 0.0000 12.2856
Tm Sc Co Te
4 4 8 8
Direct
0.0000 0.0000 0.0000
0.1250 0.5000 0.7496
0.2506 0.0000 0.4998
0.5009 0.0000 0.0011
0.3767 0.5000 0.2512
0.6245 0.5000 0.7488
0.7484 0.0000 0.4988
0.8743 0.5000 0.2501
0.0648 0.5000 0.1301
0.1877 0.0000 0.8755
0.3198 0.5000 0.6268
0.4413 0.0000 0.3733
0.5658 0.5000 0.1302
0.6862 0.0000 0.8709
0.8068 0.5000 0.6217
0.9322 0.0000 0.3733
0.1256 0.0000 0.2509
0.2518 0.5000 0.0034
0.3795 0.0000 0.7499
0.5035 0.5000 0.4987
0.6264 0.0000 0.2522
0.7504 0.5000 0.0001
0.8690 0.0000 0.7465
0.9938 0.5000 0.4972
```

Raw total energy = -5.9755 eV per atom
Crystal system = monoclinic
Space-group type = Pm (6)



12.
The following is a PBE calculation of a geometry-optimized ThScCo structure, from the Open Quantum Materials Database.

Geometry as POSCAR:
```
ThScCo
1.0
0.0000 3.1888 3.1888
3.1888 0.0000 3.1888
3.1888 3.1888 0.0000
Th Sc Co
1 1 1
Direct
0.0000 0.0000 0.0000
0.7500 0.7500 0.7500
0.5000 0.5000 0.5000
```

Crystal system = cubic
Space-group type = F-43m (216)
Energy above the most stable polymorph in this dataset = 0.0000 eV/atom
Energy relative to the elements = 61.6 kJ/mol of atoms



Computed spin magnetization, in the same sequence as the records: 0.0 0.0 0.0 3.3 1.5 0.9 2.9 0.0 1.5 0.6 0.0 0.0 μB per formula unit.